No. 1
A plane-wave DFT calculation with PBE-GGA was carried out for an optimized crystal structure of Sc2HPb.

Cell: 8.0073 6.1103 6.2118 Å, 90.00 98.77 90.00°
Atoms (fractional coordinates):
Sc: 0.0438 0.1387 0.3010
Sc: 0.0438 0.3613 0.8010
Sc: 0.3041 0.6444 0.5399
Sc: 0.3041 0.8556 0.0399
Sc: 0.6959 0.1444 0.9601
Sc: 0.6959 0.3556 0.4601
Sc: 0.9562 0.6387 0.1990
Sc: 0.9562 0.8613 0.6990
H: 0.0795 0.6720 0.9328
H: 0.0795 0.8280 0.4328
H: 0.9205 0.1720 0.5672
H: 0.9205 0.3280 0.0672
Pb: 0.3600 0.1415 0.6357
Pb: 0.3600 0.3585 0.1357
Pb: 0.6400 0.6415 0.8643
Pb: 0.6400 0.8585 0.3643

## Properties
E above lowest polymorph in meV/atom: 117

---

No. 2
A plane-wave DFT calculation with PBE-GGA was carried out for an optimized crystal structure of ScHPb.

Cell: 5.8231 3.3709 11.3934 Å, 90.00 90.00 90.00°
Atoms (fractional coordinates):
Sc: 0.2218 0.2500 0.0426
Sc: 0.2782 0.7500 0.5426
Sc: 0.7218 0.2500 0.4574
Sc: 0.7782 0.7500 0.9574
H: 0.0478 0.7500 0.0649
H: 0.4522 0.2500 0.5649
H: 0.5478 0.7500 0.4351
H: 0.9522 0.2500 0.9351
Pb: 0.1846 0.2500 0.3130
Pb: 0.3154 0.7500 0.8130
Pb: 0.6846 0.2500 0.1870
Pb: 0.8154 0.7500 0.6870

## Properties
E above lowest polymorph in meV/atom: 143

---

No. 3
A plane-wave DFT calculation with PBE-GGA was carried out for an optimized crystal structure of Sc2HPbSe.

Cell: 4.4967 4.4967 4.7847 Å, 90.00 90.00 90.00°
Atoms (fractional coordinates):
Sc: 0.0000 0.5000 0.0000
Sc: 0.5000 0.0000 0.0000
H: 0.0000 0.0000 0.0000
Pb: 0.0000 0.0000 0.5000
Se: 0.5000 0.5000 0.5000

## Properties
Electronic total energy in eV per atom: -4.8293

---

No. 4
A plane-wave DFT calculation with PBE-GGA was carried out for an optimized crystal structure of ScSiHPb2.

Cell: 5.6552 5.6552 5.0923 Å, 90.00 90.00 90.00°
Atoms (fractional coordinates):
Sc: 0.0000 0.0000 0.0000
Si: 0.0000 0.0000 0.5000
H: 0.5000 0.5000 0.5000
Pb: 0.0000 0.5000 0.0000
Pb: 0.5000 0.0000 0.0000

## Properties
E above lowest polymorph in meV/atom: 179

---

No. 5
A plane-wave DFT calculation with PBE-GGA was carried out for an optimized crystal structure of ScSiHPb2.

Cell: 5.3685 5.3685 5.0925 Å, 90.00 90.00 90.00°
Atoms (fractional coordinates):
Sc: 0.0000 0.0000 0.0000
Si: 0.0000 0.0000 0.5000
H: 0.5000 0.5000 0.0000
Pb: 0.0000 0.5000 0.5000
Pb: 0.5000 0.0000 0.5000

## Properties
E above lowest polymorph in meV/atom: 0

---

No. 6
A plane-wave DFT calculation with PBE-GGA was carried out for an optimized crystal structure of Sc2TcHPb.

Cell: 4.6140 4.6140 3.8196 Å, 90.00 90.00 90.00°
Atoms (fractional coordinates):
Sc: 0.0000 0.5000 0.0000
Sc: 0.5000 0.0000 0.0000
Tc: 0.0000 0.0000 0.5000
H: 0.0000 0.0000 0.0000
Pb: 0.5000 0.5000 0.5000

## Properties
Electronic total energy in eV per atom: -6.3344

---

No. 7
A plane-wave DFT calculation with PBE-GGA was carried out for an optimized crystal structure of ScTi2HPb.

Cell: 4.2351 4.2351 4.4653 Å, 90.00 90.00 90.00°
Atoms (fractional coordinates):
Sc: 0.0000 0.0000 0.0000
Ti: 0.0000 0.5000 0.5000
Ti: 0.5000 0.0000 0.5000
H: 0.0000 0.0000 0.5000
Pb: 0.5000 0.5000 0.0000

## Properties
Electronic total energy in eV per atom: -6.0795

---

No. 8
A plane-wave DFT calculation with PBE-GGA was carried out for an optimized crystal structure of Sc2TiHPb.

Cell: 4.4683 4.4683 4.3005 Å, 90.00 90.00 90.00°
Atoms (fractional coordinates):
Sc: 0.0000 0.5000 0.0000
Sc: 0.5000 0.0000 0.0000
Ti: 0.0000 0.0000 0.5000
H: 0.0000 0.0000 0.0000
Pb: 0.5000 0.5000 0.5000

## Properties
Electronic total energy in eV per atom: -5.8251

---

No. 9
A plane-wave DFT calculation with PBE-GGA was carried out for an optimized crystal structure of Sc4TlHPb.

Cell: 8.4890 8.4890 6.0711 Å, 90.00 90.00 138.11°
Atoms (fractional coordinates):
Sc: 0.0000 0.5000 0.0000
Sc: 0.0000 0.5000 0.5000
Sc: 0.0738 0.9262 0.7500
Sc: 0.4209 0.5791 0.7500
Sc: 0.5000 0.0000 0.0000
Sc: 0.5000 0.0000 0.5000
Sc: 0.5791 0.4209 0.2500
Sc: 0.9262 0.0738 0.2500
Tl: 0.1120 0.8880 0.2500
Tl: 0.8880 0.1120 0.7500
H: 0.2851 0.7149 0.7500
H: 0.7149 0.2851 0.2500
Pb: 0.3908 0.6092 0.2500
Pb: 0.6092 0.3908 0.7500

## Properties
Electronic total energy in eV per atom: -5.3472

---

No. 10
A plane-wave DFT calculation with PBE-GGA was carried out for an optimized crystal structure of Y2ScHPb.

Cell: 4.8514 4.8514 4.7661 Å, 90.00 90.00 90.00°
Atoms (fractional coordinates):
Y: 0.0000 0.5000 0.0000
Y: 0.5000 0.0000 0.0000
Sc: 0.0000 0.0000 0.5000
H: 0.0000 0.0000 0.0000
Pb: 0.5000 0.5000 0.5000

## Properties
Electronic total energy in eV per atom: -5.6313

---

No. 11
A plane-wave DFT calculation with PBE-GGA was carried out for an optimized crystal structure of Zr2ScHPb.

Cell: 4.4386 4.4386 4.6714 Å, 90.00 90.00 90.00°
Atoms (fractional coordinates):
Zr: 0.0000 0.5000 0.0000
Zr: 0.5000 0.0000 0.0000
Sc: 0.0000 0.0000 0.5000
H: 0.0000 0.0000 0.0000
Pb: 0.5000 0.5000 0.5000

## Properties
E above lowest polymorph in meV/atom: 0

---

No. 12
A plane-wave DFT calculation with PBE-GGA was carried out for an optimized crystal structure of Zr2ScHPb.

Cell: 4.2829 4.2829 5.2172 Å, 90.00 90.00 90.00°
Atoms (fractional coordinates):
Zr: 0.0000 0.5000 0.0000
Zr: 0.5000 0.0000 0.0000
Sc: 0.0000 0.0000 0.5000
H: 0.5000 0.5000 0.0000
Pb: 0.5000 0.5000 0.5000

## Properties
E above lowest polymorph in meV/atom: 117